Entry 1:
Density functional theory data (PBE) for PaO2F2 after structural relaxation.

As for the space group: No. 141. Its spin magnetization is 1.0 μB/f.u. Its density is 6.793 g/cm³. As for the total energy: -0.555 Ry/atom.

Lattice parameters (Å, degrees): 10.5655 10.5655 10.5655 159.31 159.31 29.43
Positions (direct):
1 Pa 0.3750 0.6250 0.7500
2 Pa 0.6250 0.3750 0.2500
3 O 0.0739 0.3239 0.7500
4 O 0.3239 0.0739 0.2500
5 O 0.6761 0.9261 0.7500
6 O 0.9261 0.6761 0.2500
7 F 0.1934 0.4434 0.7500
8 F 0.4434 0.1934 0.2500
9 F 0.5566 0.8066 0.7500
10 F 0.8066 0.5566 0.2500


Entry 2:
Density functional theory data (PBE) for KTl12In6 after structural relaxation.

As for the space group: No. 166. The value obtained for the formation energy from the elements is 0.05 eV/atom. Its spin magnetization is 0.0 μB/f.u. The value obtained for the energy above the lowest structure with this stoichiometry is 37.5 meV/atom. Its density is 8.474 g/cm³. As for the total energy: -0.174 Ry/atom.

Lattice parameters (Å, degrees): 8.9930 8.9930 8.9930 105.88 105.88 105.88
Positions (direct):
1 K 0.0000 0.0000 0.0000
2 Tl 0.1138 0.5000 0.8862
3 Tl 0.1138 0.8862 0.5000
4 Tl 0.1299 0.3777 0.3777
5 Tl 0.3777 0.1299 0.3777
6 Tl 0.3777 0.3777 0.1299
7 Tl 0.5000 0.1138 0.8862
8 Tl 0.5000 0.8862 0.1138
9 Tl 0.6223 0.6223 0.8701
10 Tl 0.6223 0.8701 0.6223
11 Tl 0.8701 0.6223 0.6223
12 Tl 0.8862 0.1138 0.5000
13 Tl 0.8862 0.5000 0.1138
14 In 0.2913 0.7042 0.7042
15 In 0.2958 0.2958 0.7087
16 In 0.2958 0.7087 0.2958
17 In 0.7042 0.2913 0.7042
18 In 0.7042 0.7042 0.2913
19 In 0.7087 0.2958 0.2958


Entry 3:
Density functional theory data (PBE) for NaSn2Cl5 after structural relaxation.

As for the space group: No. 63. Its spin magnetization is 0.0 μB/f.u. The value obtained for the energy above the lowest structure with this stoichiometry is 17.8 meV/atom. Its density is 2.741 g/cm³. As for the total energy: -0.258 Ry/atom.

Lattice parameters (Å, degrees): 7.0925 7.0925 14.3850 90.00 90.00 132.87
Positions (direct):
1 Na 0.2183 0.7817 0.7500
2 Na 0.7817 0.2183 0.2500
3 Sn 0.1434 0.8566 0.0654
4 Sn 0.1434 0.8566 0.4346
5 Sn 0.8566 0.1434 0.5654
6 Sn 0.8566 0.1434 0.9346
7 Cl 0.0519 0.9481 0.6166
8 Cl 0.0519 0.9481 0.8834
9 Cl 0.2258 0.7742 0.2500
10 Cl 0.3354 0.6646 0.5792
11 Cl 0.3354 0.6646 0.9208
12 Cl 0.6646 0.3354 0.0792
13 Cl 0.6646 0.3354 0.4208
14 Cl 0.7742 0.2258 0.7500
15 Cl 0.9481 0.0519 0.1166
16 Cl 0.9481 0.0519 0.3834


Entry 4:
Density functional theory data (PBE) for AgH3Pd after structural relaxation.

As for the space group: No. 14. Its spin magnetization is 0.0 μB/f.u. The value obtained for the energy above the lowest structure with this stoichiometry is 0.0 meV/atom. Its density is 7.591 g/cm³. As for the total energy: -0.259 Ry/atom.

Lattice parameters (Å, degrees): 6.6137 4.9315 6.5581 90.00 117.26 90.00
Positions (direct):
1 Ag 0.1076 0.1164 0.2289
2 Ag 0.1076 0.3836 0.7289
3 Ag 0.8924 0.6164 0.2711
4 Ag 0.8924 0.8836 0.7711
5 H 0.1212 0.6574 0.9635
6 H 0.1212 0.8426 0.4635
7 H 0.3339 0.0713 0.8839
8 H 0.3339 0.4287 0.3839
9 H 0.4282 0.5710 0.8178
10 H 0.4282 0.9290 0.3178
11 H 0.5718 0.0710 0.6822
12 H 0.5718 0.4290 0.1822
13 H 0.6661 0.5713 0.6161
14 H 0.6661 0.9287 0.1161
15 H 0.8788 0.1574 0.5365
16 H 0.8788 0.3426 0.0365
17 Pd 0.4090 0.7344 0.5565
18 Pd 0.4090 0.7656 0.0565
19 Pd 0.5910 0.2344 0.9435
20 Pd 0.5910 0.2656 0.4435


Entry 5:
Density functional theory data (PBE) for AcPr4Y2 after structural relaxation.

As for the space group: No. 136. The value obtained for the formation energy from the elements is 0.21 eV/atom. Its spin magnetization is 0.0 μB/f.u. The value obtained for the energy above the lowest structure with this stoichiometry is 101.1 meV/atom. Its density is 5.956 g/cm³. As for the total energy: -0.364 Ry/atom.

Lattice parameters (Å, degrees): 9.5354 9.5354 5.9390 90.00 90.00 90.00
Positions (direct):
1 Ac 0.0000 0.0000 0.0000
2 Ac 0.5000 0.5000 0.5000
3 Pr 0.1056 0.3675 0.0000
4 Pr 0.1325 0.6056 0.5000
5 Pr 0.3675 0.1056 0.0000
6 Pr 0.3944 0.8675 0.5000
7 Pr 0.6056 0.1325 0.5000
8 Pr 0.6325 0.8944 0.0000
9 Pr 0.8675 0.3944 0.5000
10 Pr 0.8944 0.6325 0.0000
11 Y 0.1964 0.1964 0.5000
12 Y 0.3036 0.6964 0.0000
13 Y 0.6964 0.3036 0.0000
14 Y 0.8036 0.8036 0.5000